Entry 1:
This record from Alexandria describes an optimized crystal structure of BaIn3Br. The functional is PBE.

abc: 6.6572 6.6572 6.6572
angles: 90.00 90.00 90.00
Space group Pm-3m (No. 221)
Symmetry-distinct sites (fractional):
Ba 0.0000 0.0000 0.0000 (multiplicity 1)
In 0.0000 0.0000 0.5000 (multiplicity 3)
Br 0.5000 0.5000 0.5000 (multiplicity 1)



Entry 2:
This record from Alexandria describes an optimized crystal structure of Ba4InBr3. The functional is PBE.

abc: 6.8876 6.8876 13.8370
angles: 90.00 90.00 90.00
Space group I4/mmm (No. 139)
Symmetry-distinct sites (fractional):
Ba 0.0000 0.0000 0.2490 (multiplicity 4)
Ba 0.0000 0.5000 0.0000 (multiplicity 4)
In 0.0000 0.0000 0.0000 (multiplicity 2)
Br 0.0000 0.0000 0.5000 (multiplicity 2)
Br 0.0000 0.5000 0.2500 (multiplicity 4)



Entry 3:
This record from Alexandria describes an optimized crystal structure of Ba5InBr5. The functional is PBE.

abc: 15.6803 6.7936 9.8525
angles: 90.00 108.49 90.00
Space group C2/m (No. 12)
Symmetry-distinct sites (fractional):
Ba 0.0000 0.0000 0.0000 (multiplicity 2)
Ba 0.1556 0.5000 0.8319 (multiplicity 4)
Ba 0.1571 0.5000 0.3234 (multiplicity 4)
In 0.0000 0.5000 0.0000 (multiplicity 2)
Br 0.0000 0.5000 0.5000 (multiplicity 2)
Br 0.1790 0.0000 0.8435 (multiplicity 4)
Br 0.1844 0.0000 0.3396 (multiplicity 4)



Entry 4:
This record from Alexandria describes an optimized crystal structure of Ba2InBr. The functional is PBE.

abc: 4.0698 4.0825 9.3289
angles: 90.00 94.12 90.00
Space group P2/m (No. 10)
Symmetry-distinct sites (fractional):
Ba 0.0449 0.0000 0.2399 (multiplicity 2)
In 0.5000 0.5000 0.0000 (multiplicity 1)
Br 0.5000 0.5000 0.5000 (multiplicity 1)



Entry 5:
This record from Alexandria describes an optimized crystal structure of BaInBr3. The functional is PBE.

abc: 8.2119 5.0487 12.1184
angles: 90.00 105.10 90.00
Space group P2_1/m (No. 11)
Symmetry-distinct sites (fractional):
Ba 0.2258 0.2500 0.4124 (multiplicity 2)
In 0.1839 0.2500 0.9030 (multiplicity 2)
Br 0.0462 0.2500 0.1327 (multiplicity 2)
Br 0.0475 0.2500 0.6300 (multiplicity 2)
Br 0.4491 0.7500 0.3616 (multiplicity 2)



Entry 6:
This record from Alexandria describes an optimized crystal structure of Ba2InBr. The functional is PBE.

abc: 4.2452 4.4467 18.2439
angles: 90.00 90.00 90.00
Space group Imm2 (No. 44)
Symmetry-distinct sites (fractional):
Ba 0.0000 0.0000 0.0000 (multiplicity 2)
Ba 0.0000 0.5000 0.2530 (multiplicity 2)
In 0.0000 0.0000 0.4031 (multiplicity 2)
Br 0.0000 0.5000 0.6615 (multiplicity 2)



Entry 7:
This record from Alexandria describes an optimized crystal structure of BaIn4Br6. The functional is PBE.

abc: 9.2527 9.2467 10.2271
angles: 90.00 116.55 90.00
Space group Cm (No. 8)
Symmetry-distinct sites (fractional):
Ba 0.0000 0.0000 0.0000 (multiplicity 2)
In 0.3393 0.1993 0.6883 (multiplicity 4)
In 0.3533 0.5000 0.3113 (multiplicity 2)
In 0.4547 0.0000 0.3123 (multiplicity 2)
Br 0.0250 0.0000 0.6532 (multiplicity 2)
Br 0.1217 0.5000 0.6519 (multiplicity 2)
Br 0.1718 0.2015 0.3476 (multiplicity 4)
Br 0.2495 0.2505 0.0001 (multiplicity 4)



Entry 8:
This record from Alexandria describes an optimized crystal structure of Ba4InBr. The functional is PBE.

abc: 10.5063 10.5063 10.5063
angles: 90.00 90.00 90.00
Space group F-43m (No. 216)
Symmetry-distinct sites (fractional):
Ba 0.1255 0.1255 0.1255 (multiplicity 16)
In 0.0000 0.0000 0.5000 (multiplicity 4)
Br 0.2500 0.2500 0.7500 (multiplicity 4)



Entry 9:
This record from Alexandria describes an optimized crystal structure of Ba3InBr. The functional is PBE.

abc: 6.2288 6.2288 6.2288
angles: 90.00 90.00 90.00
Space group Pm-3m (No. 221)
Symmetry-distinct sites (fractional):
Ba 0.0000 0.0000 0.5000 (multiplicity 3)
In 0.5000 0.5000 0.5000 (multiplicity 1)
Br 0.0000 0.0000 0.0000 (multiplicity 1)



Entry 10:
This record from Alexandria describes an optimized crystal structure of Ba2InIrBr. The functional is PBE.

abc: 6.1275 6.1275 5.1388
angles: 90.00 90.00 90.00
Space group P4/mmm (No. 123)
Symmetry-distinct sites (fractional):
Ba 0.0000 0.5000 0.0000 (multiplicity 2)
In 0.0000 0.0000 0.5000 (multiplicity 1)
Ir 0.0000 0.0000 0.0000 (multiplicity 1)
Br 0.5000 0.5000 0.5000 (multiplicity 1)



Entry 11:
This record from Alexandria describes an optimized crystal structure of K2BaInBr5. The functional is PBE.

abc: 4.7608 19.4905 17.0144
angles: 90.00 90.00 90.00
Space group Cmc2_1 (No. 36)
Symmetry-distinct sites (fractional):
K 0.0000 0.0533 0.0000 (multiplicity 4)
K 0.0000 0.1499 0.5813 (multiplicity 4)
Ba 0.0000 0.2572 0.3536 (multiplicity 4)
In 0.0000 0.4495 0.7728 (multiplicity 4)
Br 0.0000 0.0949 0.3910 (multiplicity 4)
Br 0.0000 0.2371 0.9883 (multiplicity 4)
Br 0.0000 0.2606 0.7280 (multiplicity 4)
Br 0.0000 0.4193 0.3690 (multiplicity 4)
Br 0.0000 0.4684 0.1029 (multiplicity 4)



Entry 12:
This record from Alexandria describes an optimized crystal structure of KBaInBr6. The functional is PBE.

abc: 7.8832 7.8832 13.5525
angles: 90.00 90.00 120.00
Space group P-31c (No. 163)
Symmetry-distinct sites (fractional):
K 0.0000 0.0000 0.0000 (multiplicity 2)
Ba 0.3333 0.6667 0.2500 (multiplicity 2)
In 0.3333 0.6667 0.7500 (multiplicity 2)
Br 0.0500 0.3877 0.6321 (multiplicity 12)



Entry 13:
This record from Alexandria describes an optimized crystal structure of KBa2InBr8. The functional is PBE.

abc: 7.0439 7.1452 9.7489
angles: 90.02 90.03 90.54
Space group P-1 (No. 2)
Symmetry-distinct sites (fractional):
K 0.0000 0.0000 0.0000 (multiplicity 1)
Ba 0.4988 0.4994 0.7434 (multiplicity 2)
In 0.0000 0.0000 0.5000 (multiplicity 1)
Br 0.2220 0.3272 0.4991 (multiplicity 2)
Br 0.2233 0.8640 0.2972 (multiplicity 2)
Br 0.2248 0.8658 0.7028 (multiplicity 2)
Br 0.2531 0.3728 0.0005 (multiplicity 2)



Entry 14:
This record from Alexandria describes an optimized crystal structure of BaLaIn2Br8. The functional is PBE.

abc: 7.0013 9.6225 7.2603
angles: 90.00 91.26 90.00
Space group P2/m (No. 10)
Symmetry-distinct sites (fractional):
Ba 0.0000 0.0000 0.0000 (multiplicity 1)
La 0.0000 0.5000 0.0000 (multiplicity 1)
In 0.5000 0.2513 0.5000 (multiplicity 2)
Br 0.2296 0.2702 0.8448 (multiplicity 4)
Br 0.2616 0.5000 0.3263 (multiplicity 2)
Br 0.2893 0.0000 0.3526 (multiplicity 2)



Entry 15:
This record from Alexandria describes an optimized crystal structure of Ba6In2BrN. The functional is PBE.

abc: 8.1193 8.5831 14.3225
angles: 90.00 124.41 90.00
Space group P2_1/c (No. 14)
Symmetry-distinct sites (fractional):
Ba 0.1283 0.2263 0.4532 (multiplicity 4)
Ba 0.2327 0.6792 0.4538 (multiplicity 4)
Ba 0.3166 0.0232 0.2264 (multiplicity 4)
In 0.2220 0.0643 0.7459 (multiplicity 4)
Br 0.5000 0.0000 0.5000 (multiplicity 2)
N 0.0000 0.0000 0.0000 (multiplicity 2)



Entry 16:
This record from Alexandria describes an optimized crystal structure of Ba2InNiBr. The functional is PBE.

abc: 6.1229 6.1229 4.8705
angles: 90.00 90.00 90.00
Space group P4/mmm (No. 123)
Symmetry-distinct sites (fractional):
Ba 0.0000 0.5000 0.0000 (multiplicity 2)
In 0.0000 0.0000 0.5000 (multiplicity 1)
Ni 0.0000 0.0000 0.0000 (multiplicity 1)
Br 0.5000 0.5000 0.5000 (multiplicity 1)



Entry 17:
This record from Alexandria describes an optimized crystal structure of Ba2InBrO3. The functional is PBE.

abc: 4.3025 4.3025 15.9550
angles: 90.00 90.00 90.00
Space group P4/nmm (No. 129, origin choice 2)
Symmetry-distinct sites (fractional):
Ba 0.2500 0.2500 0.0902 (multiplicity 2)
Ba 0.2500 0.2500 0.3365 (multiplicity 2)
In 0.2500 0.2500 0.7965 (multiplicity 2)
Br 0.2500 0.2500 0.5795 (multiplicity 2)
O 0.2500 0.2500 0.9287 (multiplicity 2)
O 0.2500 0.7500 0.2273 (multiplicity 4)



Entry 18:
This record from Alexandria describes an optimized crystal structure of Ba2InOsBr. The functional is PBE.

abc: 6.2646 6.2646 4.6226
angles: 90.00 90.00 90.00
Space group P4/mmm (No. 123)
Symmetry-distinct sites (fractional):
Ba 0.0000 0.5000 0.0000 (multiplicity 2)
In 0.0000 0.0000 0.5000 (multiplicity 1)
Os 0.5000 0.5000 0.5000 (multiplicity 1)
Br 0.5000 0.5000 0.0000 (multiplicity 1)



Entry 19:
This record from Alexandria describes an optimized crystal structure of BaPaIn2Br8. The functional is PBE.

abc: 7.4418 9.4518 7.4628
angles: 90.00 92.27 90.00
Space group P2/m (No. 10)
Symmetry-distinct sites (fractional):
Ba 0.0000 0.0000 0.0000 (multiplicity 1)
Pa 0.0000 0.5000 0.0000 (multiplicity 1)
In 0.5000 0.2450 0.5000 (multiplicity 2)
Br 0.2024 0.5000 0.3186 (multiplicity 2)
Br 0.2230 0.2813 0.8667 (multiplicity 4)
Br 0.2658 0.0000 0.3488 (multiplicity 2)



Entry 20:
This record from Alexandria describes an optimized crystal structure of BaIn2PbBr6. The functional is PBE.

abc: 8.2557 8.2557 21.3199
angles: 90.00 90.00 120.00
Space group R3 (No. 146, hexagonal axes)
Symmetry-distinct sites (fractional):
Ba 0.0000 0.0000 0.0000 (multiplicity 3)
In 0.0000 0.0000 0.2928 (multiplicity 3)
In 0.0000 0.0000 0.7951 (multiplicity 3)
Pb 0.0000 0.0000 0.4967 (multiplicity 3)
Br 0.0537 0.7047 0.5663 (multiplicity 9)
Br 0.0625 0.3740 0.0689 (multiplicity 9)



Number 1: calculated total energy -1.825 eV/atom. Number 2: calculated total energy -3.267 eV/atom. Number 3: calculated total energy -3.434 eV/atom. Number 4: calculated total energy -3.042 eV/atom. Number 5: calculated total energy -3.495 eV/atom. Number 6: calculated total energy -2.958 eV/atom. Number 7: calculated total energy -3.087 eV/atom. Number 8: calculated total energy -1.994 eV/atom. Number 9: calculated total energy -2.602 eV/atom. Number 10: calculated total energy -4.148 eV/atom. Number 11: calculated total energy -3.302 eV/atom. Number 12: calculated total energy -3.222 eV/atom. Number 13: calculated total energy -3.363 eV/atom. Number 14: calculated total energy -3.575 eV/atom. Number 15: calculated total energy -3.333 eV/atom. Number 16: calculated total energy -3.465 eV/atom. Number 17: calculated total energy -5.488 eV/atom. Number 18: calculated total energy -3.626 eV/atom. Number 19: calculated total energy -3.886 eV/atom. Number 20: calculated total energy -3.289 eV/atom.